Arrangement w

## GeW2Au2 (PBE-GGA)

Data for GeW2Au2 after structural relaxation.

Computed properties:
DOS at the Fermi energy: 0.7682 states/eV per atom
Total moment: 0.00 Bohr magnetons per cell

a = 7.5930 Å, b = 7.5930 Å, c = 7.5930 Å
α = 152.16°, β = 152.16°, γ = 39.78°
Last column: nearest neighbours and their distance in Å.
Positions (direct):
Ge1 0.0000 0.0000 0.0000  8 Au 2.93
W1 0.2500 0.7500 0.5000  4 W 2.58, 4 Au 2.85
W2 0.7500 0.2500 0.5000  4 W 2.58, 4 Au 2.85
Au1 0.4027 0.4027 0.0000  1 Au 2.78, 4 W 2.85, 4 Ge 2.93
Au2 0.5973 0.5973 0.0000  1 Au 2.78, 4 W 2.85, 4 Ge 2.93



Arrangement x

## GeW2Au2 (PBE-GGA)

Data for GeW2Au2 after structural relaxation.

Computed properties:
DOS at the Fermi energy: 1.1817 states/eV per atom
Total moment: 0.00 Bohr magnetons per cell

a = 8.3288 Å, b = 8.3288 Å, c = 2.7355 Å
α = 90.00°, β = 90.00°, γ = 90.00°
Last column: nearest neighbours and their distance in Å.
Positions (direct):
Ge1 0.0000 0.0000 0.0000  2 Ge 2.74, 4 Au 3.04
Ge2 0.5000 0.5000 0.0000  2 Ge 2.74, 4 Au 3.04
W1 0.1069 0.3931 0.5000  3 W 2.52-2.74, 2 Au 2.80
W2 0.3931 0.8931 0.5000  3 W 2.52-2.74, 2 Au 2.80
W3 0.6069 0.1069 0.5000  3 W 2.52-2.74, 2 Au 2.80
W4 0.8931 0.6069 0.5000  3 W 2.52-2.74, 2 Au 2.80
Au1 0.1859 0.6859 0.0000  2 Au 2.74, 6 W 2.80-2.87, 2 Ge 3.04
Au2 0.3141 0.1859 0.0000  2 Au 2.74, 6 W 2.80-2.87, 2 Ge 3.04
Au3 0.6859 0.8141 0.0000  2 Au 2.74, 6 W 2.80-2.87, 2 Ge 3.04
Au4 0.8141 0.3141 0.0000  2 Au 2.74, 6 W 2.80-2.87, 2 Ge 3.04



Relative energy of each structure, in eV/atom: arrangement w 0.000; arrangement x 0.068.



Arrangement w

## Y2GeAu2 (PBE-GGA)

Data for Y2GeAu2 after structural relaxation.

Computed properties:
DOS at the Fermi energy: 0.7571 states/eV per atom
Total moment: 0.00 Bohr magnetons per cell

a = 8.0778 Å, b = 8.0778 Å, c = 3.7324 Å
α = 90.00°, β = 90.00°, γ = 90.00°
Last column: nearest neighbours and their distance in Å.
Positions (direct):
Y1 0.1706 0.3294 0.0000  6 Au 2.97-3.06, 2 Ge 3.00
Y2 0.3294 0.8294 0.0000  6 Au 2.97-3.06, 2 Ge 3.00
Y3 0.6706 0.1706 0.0000  6 Au 2.97-3.06, 2 Ge 3.00
Y4 0.8294 0.6706 0.0000  6 Au 2.97-3.06, 2 Ge 3.00
Ge1 0.0000 0.0000 0.0000  4 Y 3.00
Ge2 0.5000 0.5000 0.0000  4 Y 3.00
Au1 0.1266 0.6266 0.5000  1 Au 2.89, 6 Y 2.97-3.06
Au2 0.3734 0.1266 0.5000  1 Au 2.89, 6 Y 2.97-3.06
Au3 0.6266 0.8734 0.5000  1 Au 2.89, 6 Y 2.97-3.06
Au4 0.8734 0.3734 0.5000  1 Au 2.89, 6 Y 2.97-3.06



Arrangement x

## Y2GeAu2 (PBE-GGA)

Data for Y2GeAu2 after structural relaxation.

Computed properties:
DOS at the Fermi energy: 0.4983 states/eV per atom
Total moment: 0.00 Bohr magnetons per cell

a = 7.7649 Å, b = 7.7649 Å, c = 3.8290 Å
α = 90.00°, β = 90.00°, γ = 90.00°
Last column: nearest neighbours and their distance in Å.
Positions (direct):
Y1 0.1721 0.3279 0.0000  6 Au 2.91-3.04
Y2 0.3279 0.8279 0.0000  6 Au 2.91-3.04
Y3 0.6721 0.1721 0.0000  6 Au 2.91-3.04
Y4 0.8279 0.6721 0.0000  6 Au 2.91-3.04
Ge1 0.0000 0.0000 0.5000  4 Au 3.05
Ge2 0.5000 0.5000 0.5000  4 Au 3.05
Au1 0.1283 0.6283 0.5000  1 Au 2.82, 6 Y 2.91-3.04, 2 Ge 3.05
Au2 0.3717 0.1283 0.5000  1 Au 2.82, 6 Y 2.91-3.04, 2 Ge 3.05
Au3 0.6283 0.8717 0.5000  1 Au 2.82, 6 Y 2.91-3.04, 2 Ge 3.05
Au4 0.8717 0.3717 0.5000  1 Au 2.82, 6 Y 2.91-3.04, 2 Ge 3.05



Relative energy of each structure, in eV/atom: arrangement w 0.148; arrangement x 0.000.



Arrangement w

## YGeAu3 (PBE-GGA)

Data for YGeAu3 after structural relaxation.

Computed properties:
DOS at the Fermi energy: 1.0093 states/eV per atom
Total moment: 0.00 Bohr magnetons per cell

a = 5.3783 Å, b = 5.3783 Å, c = 5.3783 Å
α = 90.00°, β = 90.00°, γ = 90.00°
Last column: nearest neighbours and their distance in Å.
Positions (direct):
Y1 0.0000 0.0000 0.0000  6 Au 2.69
Ge1 0.5000 0.5000 0.5000  12 Au 3.80
Au1 0.0000 0.0000 0.5000  2 Y 2.69
Au2 0.0000 0.5000 0.0000  2 Y 2.69
Au3 0.5000 0.0000 0.0000  2 Y 2.69



Arrangement x

## YGeAu3 (PBE-GGA)

Data for YGeAu3 after structural relaxation.

Computed properties:
DOS at the Fermi energy: 0.8047 states/eV per atom
Total moment: 0.00 Bohr magnetons per cell

a = 4.8970 Å, b = 4.8970 Å, c = 4.8970 Å
α = 90.00°, β = 90.00°, γ = 90.00°
Last column: nearest neighbours and their distance in Å.
Positions (direct):
Y1 0.0000 0.0000 0.0000  12 Au 3.46
Ge1 0.5000 0.5000 0.5000  6 Au 2.45
Au1 0.0000 0.5000 0.5000  2 Ge 2.45
Au2 0.5000 0.0000 0.5000  2 Ge 2.45
Au3 0.5000 0.5000 0.0000  2 Ge 2.45



Relative energy of each structure, in eV/atom: arrangement w 0.786; arrangement x 0.000.



Arrangement w

## ZnGeAu3 (PBE-GGA)

Data for ZnGeAu3 after structural relaxation.

Computed properties:
DOS at the Fermi energy: 0.2417 states/eV per atom
Total moment: 0.00 Bohr magnetons per cell

a = 5.0383 Å, b = 6.8648 Å, c = 6.0423 Å
α = 90.00°, β = 114.29°, γ = 90.00°
Last column: nearest neighbours and their distance in Å.
Positions (direct):
Zn1 0.2273 0.2500 0.2877  6 Au 2.66-2.80, 1 Ge 2.77
Zn2 0.7727 0.7500 0.7123  6 Au 2.66-2.80, 1 Ge 2.77
Ge1 0.4269 0.7500 0.2183  5 Au 2.59-2.71, 1 Zn 2.77
Ge2 0.5731 0.2500 0.7817  5 Au 2.59-2.71, 1 Zn 2.77
Au1 0.1926 0.0295 0.8866  2 Ge 2.67-2.71, 2 Zn 2.73-2.80, 4 Au 2.83-2.89
Au2 0.1926 0.4705 0.8866  2 Ge 2.67-2.71, 2 Zn 2.73-2.80, 4 Au 2.83-2.89
Au3 0.1947 0.7500 0.5291  1 Ge 2.59, 2 Zn 2.66-2.77, 4 Au 2.89
Au4 0.8053 0.2500 0.4709  1 Ge 2.59, 2 Zn 2.66-2.77, 4 Au 2.89
Au5 0.8074 0.5295 0.1134  2 Ge 2.67-2.71, 2 Zn 2.73-2.80, 4 Au 2.83-2.89
Au6 0.8074 0.9705 0.1134  2 Ge 2.67-2.71, 2 Zn 2.73-2.80, 4 Au 2.83-2.89



Arrangement x

## ZnGeAu3 (PBE-GGA)

Data for ZnGeAu3 after structural relaxation.

Computed properties:
DOS at the Fermi energy: 0.4596 states/eV per atom
Total moment: 0.00 Bohr magnetons per cell

a = 4.8262 Å, b = 4.8262 Å, c = 4.8262 Å
α = 90.00°, β = 90.00°, γ = 90.00°
Last column: nearest neighbours and their distance in Å.
Positions (direct):
Zn1 0.0000 0.0000 0.0000  6 Au 2.41
Ge1 0.5000 0.5000 0.5000  12 Au 3.41
Au1 0.0000 0.0000 0.5000  2 Zn 2.41
Au2 0.0000 0.5000 0.0000  2 Zn 2.41
Au3 0.5000 0.0000 0.0000  2 Zn 2.41



Relative energy of each structure, in eV/atom: arrangement w 0.000; arrangement x 0.483.



Arrangement w

## Zn2GeAu2 (PBE-GGA)

Data for Zn2GeAu2 after structural relaxation.

Computed properties:
DOS at the Fermi energy: 0.2826 states/eV per atom
Total moment: 0.00 Bohr magnetons per cell

a = 7.1360 Å, b = 7.1360 Å, c = 7.1360 Å
α = 149.98°, β = 149.98°, γ = 42.97°
Last column: nearest neighbours and their distance in Å.
Positions (direct):
Zn1 0.2500 0.7500 0.5000  4 Zn 2.61, 4 Au 2.67
Zn2 0.7500 0.2500 0.5000  4 Zn 2.61, 4 Au 2.67
Ge1 0.0000 0.0000 0.0000  8 Au 2.96
Au1 0.3952 0.3952 0.0000  4 Zn 2.67, 1 Au 2.78, 4 Ge 2.96
Au2 0.6048 0.6048 0.0000  4 Zn 2.67, 1 Au 2.78, 4 Ge 2.96



Arrangement x

## Zn2GeAu2 (PBE-GGA)

Data for Zn2GeAu2 after structural relaxation.

Computed properties:
DOS at the Fermi energy: 0.3387 states/eV per atom
Total moment: 0.00 Bohr magnetons per cell

a = 7.8160 Å, b = 7.8160 Å, c = 2.8810 Å
α = 90.00°, β = 90.00°, γ = 90.00°
Last column: nearest neighbours and their distance in Å.
Positions (direct):
Zn1 0.1609 0.3391 0.0000  6 Au 2.65-2.75, 2 Zn 2.88
Zn2 0.3391 0.8391 0.0000  6 Au 2.65-2.75, 2 Zn 2.88
Zn3 0.6609 0.1609 0.0000  6 Au 2.65-2.75, 2 Zn 2.88
Zn4 0.8391 0.6609 0.0000  6 Au 2.65-2.75, 2 Zn 2.88
Ge1 0.0000 0.0000 0.5000  2 Ge 2.88, 4 Au 3.03
Ge2 0.5000 0.5000 0.5000  2 Ge 2.88, 4 Au 3.03
Au1 0.1383 0.6383 0.5000  6 Zn 2.65-2.75, 2 Au 2.88
Au2 0.3617 0.1383 0.5000  6 Zn 2.65-2.75, 2 Au 2.88
Au3 0.6383 0.8617 0.5000  6 Zn 2.65-2.75, 2 Au 2.88
Au4 0.8617 0.3617 0.5000  6 Zn 2.65-2.75, 2 Au 2.88



Arrangement y

## Zn2GeAu2 (PBE-GGA)

Data for Zn2GeAu2 after structural relaxation.

Computed properties:
DOS at the Fermi energy: 0.2958 states/eV per atom
Total moment: 0.00 Bohr magnetons per cell

a = 7.8157 Å, b = 7.8157 Å, c = 2.8856 Å
α = 90.00°, β = 90.00°, γ = 90.00°
Last column: nearest neighbours and their distance in Å.
Positions (direct):
Zn1 0.1230 0.3770 0.0000  6 Au 2.67-2.76, 3 Zn 2.72-2.89
Zn2 0.3770 0.8770 0.0000  6 Au 2.67-2.76, 3 Zn 2.72-2.89
Zn3 0.6230 0.1230 0.0000  6 Au 2.67-2.76, 3 Zn 2.72-2.89
Zn4 0.8770 0.6230 0.0000  6 Au 2.67-2.76, 3 Zn 2.72-2.89
Ge1 0.0000 0.0000 0.0000  2 Ge 2.89, 4 Zn 3.10, 8 Au 3.23
Ge2 0.5000 0.5000 0.0000  2 Ge 2.89, 4 Zn 3.10, 8 Au 3.23
Au1 0.1737 0.6737 0.5000  6 Zn 2.67-2.76, 2 Au 2.89
Au2 0.3263 0.1737 0.5000  6 Zn 2.67-2.76, 2 Au 2.89
Au3 0.6737 0.8263 0.5000  6 Zn 2.67-2.76, 2 Au 2.89
Au4 0.8263 0.3263 0.5000  6 Zn 2.67-2.76, 2 Au 2.89



Relative energy of each structure, in eV/atom: arrangement w 0.035; arrangement x 0.000; arrangement y 0.023.



Arrangement w

## Zn3GeAu (PBE-GGA)

Data for Zn3GeAu after structural relaxation.

Computed properties:
DOS at the Fermi energy: 0.4501 states/eV per atom
Total moment: 0.00 Bohr magnetons per cell

a = 4.8671 Å, b = 4.8671 Å, c = 4.8671 Å
α = 90.00°, β = 90.00°, γ = 90.00°
Last column: nearest neighbours and their distance in Å.
Positions (direct):
Zn1 0.0000 0.0000 0.5000  2 Au 2.43
Zn2 0.0000 0.5000 0.0000  2 Au 2.43
Zn3 0.5000 0.0000 0.0000  2 Au 2.43
Ge1 0.5000 0.5000 0.5000  12 Zn 3.44
Au1 0.0000 0.0000 0.0000  6 Zn 2.43



Arrangement x

## Zn3GeAu (PBE-GGA)

Data for Zn3GeAu after structural relaxation.

Computed properties:
DOS at the Fermi energy: 0.4065 states/eV per atom
Total moment: 0.00 Bohr magnetons per cell

a = 4.8071 Å, b = 4.8071 Å, c = 4.8071 Å
α = 90.00°, β = 90.00°, γ = 90.00°
Last column: nearest neighbours and their distance in Å.
Positions (direct):
Zn1 0.0000 0.0000 0.5000  2 Ge 2.40
Zn2 0.0000 0.5000 0.0000  2 Ge 2.40
Zn3 0.5000 0.0000 0.0000  2 Ge 2.40
Ge1 0.0000 0.0000 0.0000  6 Zn 2.40
Au1 0.5000 0.5000 0.5000  12 Zn 3.40



Relative energy of each structure, in eV/atom: arrangement w 0.000; arrangement x 0.044.